Density functional theory data (PBE) for a relaxed structure of Nb2TeI3.

Density of states at the Fermi level ... 4.498 states/eV per cell
Total magnetization ... 0.000 μB per formula unit
E_form (uncorrected) ... -1.8 eV/f.u.
Total DFT energy (no corrections) ... -4.963 eV per atom

Unit cell a=3.6855 b=11.6328 c=10.5999 alpha=104.33 beta=90.00 gamma=99.11
Fractional coordinates of all 12 atoms:
Nb 0.0957 0.1914 0.7499
Nb 0.9043 0.8086 0.2501
Nb 0.3909 0.7818 0.4507
Nb 0.6091 0.2182 0.5493
Te 0.5070 0.0141 0.6602
Te 0.4930 0.9859 0.3398
I 0.8704 0.7409 0.6675
I 0.1296 0.2591 0.3325
I 0.3513 0.7026 0.0387
I 0.6487 0.2974 0.9613
I 0.2021 0.4042 0.6730
I 0.7979 0.5958 0.3270

Density functional theory data (PBE) for a relaxed structure of BaYHf2Te.

Density of states at the Fermi level ... 5.885 states/eV per cell
Total magnetization ... 0.000 μB per formula unit
E_form (uncorrected) ... 5.4 eV/f.u.
Total DFT energy (no corrections) ... -5.205 eV per atom

Unit cell a=5.2883 b=5.2883 c=6.4538 alpha=90.00 beta=90.00 gamma=90.00
Fractional coordinates of all 5 atoms:
Y 0.0000 0.0000 0.0000
Te 0.5000 0.5000 0.5000
Hf 0.0000 0.5000 0.0000
Hf 0.5000 0.0000 0.0000
Ba 0.0000 0.0000 0.5000

Density functional theory data (PBE) for a relaxed structure of PmMg2Ag4.

Density of states at the Fermi level ... 2.307 states/eV per cell
Formation energy from the elements ... -191 meV/atom
Total magnetization ... 0.000 μB per formula unit
E above lowest polymorph ... 76 meV/atom
Total DFT energy (no corrections) ... -2.955 eV per atom

Unit cell a=4.7667 b=3.2041 c=10.0387 alpha=99.18 beta=103.73 gamma=90.00
Fractional coordinates of all 7 atoms:
Pm 0.5000 0.0000 0.0000
Mg 0.8024 0.8024 0.6049
Mg 0.1976 0.1976 0.3951
Ag 0.6557 0.6557 0.3114
Ag 0.3443 0.3443 0.6886
Ag 0.0739 0.5739 0.1478
Ag 0.9261 0.4261 0.8522